Here is crystalline LiCo2W at its relaxed geometry from Alexandria via LeMat-Bulk. Energies are from PBE-GGA.

Calculated values
energy of formation from the pure elements: 1.17 eV per formula unit

a b c (Å): 8.685 8.685 8.685
angles (deg): 17.68 17.68 17.68
Fractional coordinates of all 4 atoms:
Co 0.001 0.001 0.001
Co 0.499 0.499 0.499
Li 0.250 0.250 0.250
W 0.750 0.750 0.750